Cr2OsAuF GGA+U relaxed; density of states at the Fermi level = 0.765 states/eV per atom; V = 108.4 Å³ per cell; DFT total energy = -5.058 eV/atom; magnetization = 7.0 Bohr magnetons per cell
1.0
-1.2498 1.2279 -4.8431
-0.3050 -3.9690 -0.9276
-4.9816 0.0778 1.3052
Os F Au Cr
1 1 1 2
Direct
0.5000 0.5000 0.5000
0.0000 0.5000 0.0000
0.0000 0.0000 0.0000
0.0000 0.0000 0.5000
0.5000 0.0000 0.0000